a) ## CsNbSbH2 (PBE-GGA)

Data for a relaxed CsNbSbH2 crystal.

Symmetry: Amm2

Lattice parameters (Å, degrees): 6.836 3.268 10.268 90.00 90.00 90.00
Fractional coordinates of all 10 atoms:
Cs: 0.000 0.000 0.000
Cs: 0.000 0.500 0.500
Nb: 0.500 0.000 0.287
Nb: 0.500 0.500 0.787
Sb: 0.500 0.000 0.564
Sb: 0.500 0.500 0.064
H: 0.340 0.000 0.830
H: 0.340 0.500 0.330
H: 0.660 0.000 0.830
H: 0.660 0.500 0.330

b) ## CsNbSbH2 (PBE-GGA)

Data for a relaxed CsNbSbH2 crystal.

Symmetry: Cm

Lattice parameters (Å, degrees): 15.163 3.920 3.456 90.00 90.73 90.00
Fractional coordinates of all 10 atoms:
Cs: 0.000 0.000 0.000
Cs: 0.500 0.500 0.000
Nb: 0.280 0.000 0.019
Nb: 0.780 0.500 0.019
Sb: 0.195 0.500 0.515
Sb: 0.695 0.000 0.515
H: 0.165 0.000 0.015
H: 0.356 0.000 0.522
H: 0.665 0.500 0.015
H: 0.856 0.500 0.522

c) ## CsNbSbH2 (PBE-GGA)

Data for a relaxed CsNbSbH2 crystal.

Symmetry: Imm2

Lattice parameters (Å, degrees): 3.550 3.888 14.839 90.00 90.00 90.00
Fractional coordinates of all 10 atoms:
Cs: 0.000 0.000 0.000
Cs: 0.500 0.500 0.500
Nb: 0.000 0.000 0.289
Nb: 0.500 0.500 0.789
Sb: 0.000 0.000 0.706
Sb: 0.500 0.500 0.206
H: 0.000 0.000 0.412
H: 0.000 0.500 0.843
H: 0.500 0.000 0.343
H: 0.500 0.500 0.912

d) ## CsNbSbH2 (PBE-GGA)

Data for a relaxed CsNbSbH2 crystal.

Symmetry: Amm2

Lattice parameters (Å, degrees): 6.522 4.640 8.495 90.00 90.00 90.00
Fractional coordinates of all 10 atoms:
Cs: 0.000 0.000 0.000
Cs: 0.000 0.500 0.500
Nb: 0.500 0.000 0.292
Nb: 0.500 0.500 0.792
Sb: 0.500 0.000 0.628
Sb: 0.500 0.500 0.128
H: 0.240 0.000 0.371
H: 0.240 0.500 0.871
H: 0.760 0.000 0.371
H: 0.760 0.500 0.871

c) takes first place; second place is 0.106 eV/atom up.

a) ## CsNbSbH2 (PBE-GGA)

Data for a relaxed CsNbSbH2 crystal.

Symmetry: Cm

Lattice parameters (Å, degrees): 6.742 3.252 8.764 90.00 102.41 90.00
Fractional coordinates of all 10 atoms:
Cs: 0.000 0.000 0.000
Cs: 0.500 0.500 0.000
Nb: 0.164 0.000 0.603
Nb: 0.664 0.500 0.603
Sb: 0.405 0.000 0.370
Sb: 0.905 0.500 0.370
H: 0.128 0.500 0.738
H: 0.363 0.500 0.634
H: 0.628 0.000 0.738
H: 0.863 0.000 0.634

b) ## CsNbSbH2 (PBE-GGA)

Data for a relaxed CsNbSbH2 crystal.

Symmetry: Cm

Lattice parameters (Å, degrees): 5.735 3.661 9.163 90.00 103.04 90.00
Fractional coordinates of all 10 atoms:
Cs: 0.000 0.000 0.000
Cs: 0.500 0.500 0.000
Nb: 0.276 0.500 0.399
Nb: 0.776 0.000 0.399
Sb: 0.003 0.500 0.634
Sb: 0.503 0.000 0.634
H: 0.211 0.500 0.193
H: 0.410 0.000 0.321
H: 0.711 0.000 0.193
H: 0.910 0.500 0.321

b) takes first place; second place is 0.013 eV/atom up.

a) ## CsNbSbH2 (PBE-GGA)

Data for a relaxed CsNbSbH2 crystal.

Symmetry: Cm

Lattice parameters (Å, degrees): 9.829 3.591 6.773 90.00 94.49 90.00
Fractional coordinates of all 10 atoms:
Cs: 0.000 0.000 0.000
Cs: 0.500 0.500 0.000
Nb: 0.193 0.500 0.549
Nb: 0.693 0.000 0.549
Sb: 0.405 0.000 0.499
Sb: 0.905 0.500 0.499
H: 0.126 0.000 0.592
H: 0.200 0.500 0.818
H: 0.626 0.500 0.592
H: 0.700 0.000 0.818

b) ## CsNbSbH2 (PBE-GGA)

Data for a relaxed CsNbSbH2 crystal.

Symmetry: I4mm

Lattice parameters (Å, degrees): 3.551 3.551 15.505 90.00 90.00 90.00
Fractional coordinates of all 10 atoms:
Cs: 0.000 0.000 0.000
Cs: 0.500 0.500 0.500
Nb: 0.000 0.000 0.283
Nb: 0.500 0.500 0.783
Sb: 0.000 0.000 0.688
Sb: 0.500 0.500 0.188
H: 0.000 0.500 0.345
H: 0.000 0.500 0.845
H: 0.500 0.000 0.345
H: 0.500 0.000 0.845

b) takes first place; second place is 0.103 eV/atom up.

a) ## CsNi3H (PBE-GGA)

Data for a relaxed CsNi3H crystal.

Symmetry: Pm-3m

Lattice parameters (Å, degrees): 4.065 4.065 4.065 90.00 90.00 90.00
Fractional coordinates of all 5 atoms:
Cs: 0.000 0.000 0.000
Ni: 0.000 0.500 0.500
Ni: 0.500 0.000 0.500
Ni: 0.500 0.500 0.000
H: 0.500 0.500 0.500

b) ## CsNi3H (PBE-GGA)

Data for a relaxed CsNi3H crystal.

Symmetry: Pm-3m

Lattice parameters (Å, degrees): 4.863 4.863 4.863 90.00 90.00 90.00
Fractional coordinates of all 5 atoms:
Cs: 0.000 0.000 0.000
Ni: 0.000 0.000 0.500
Ni: 0.000 0.500 0.000
Ni: 0.500 0.000 0.000
H: 0.500 0.500 0.500

a) takes first place; second place is 1.543 eV/atom up.

a) ## CsH2O (PBE-GGA)

Data for a relaxed CsH2O crystal.

Symmetry: R-3m

Lattice parameters (Å, degrees): 6.813 6.813 6.813 77.23 77.23 77.23
Fractional coordinates of all 12 atoms:
Cs: 0.000 0.000 0.000
Cs: 0.319 0.319 0.319
Cs: 0.681 0.681 0.681
H: 0.118 0.500 0.882
H: 0.118 0.882 0.500
H: 0.500 0.118 0.882
H: 0.500 0.882 0.118
H: 0.882 0.118 0.500
H: 0.882 0.500 0.118
O: 0.000 0.000 0.500
O: 0.000 0.500 0.000
O: 0.500 0.000 0.000

b) ## CsH2O (PBE-GGA)

Data for a relaxed CsH2O crystal.

Symmetry: I4_1/amd

Lattice parameters (Å, degrees): 5.429 5.429 7.694 90.00 90.00 90.00
Fractional coordinates of all 16 atoms:
Cs: 0.000 0.250 0.375
Cs: 0.000 0.750 0.625
Cs: 0.500 0.250 0.125
Cs: 0.500 0.750 0.875
H: 0.000 0.000 0.000
H: 0.000 0.500 0.000
H: 0.250 0.250 0.750
H: 0.250 0.750 0.250
H: 0.500 0.000 0.500
H: 0.500 0.500 0.500
H: 0.750 0.250 0.750
H: 0.750 0.750 0.250
O: 0.000 0.250 0.875
O: 0.000 0.750 0.125
O: 0.500 0.250 0.625
O: 0.500 0.750 0.375

a) takes first place; second place is 0.586 eV/atom up.

a) ## CsH3O (PBE-GGA)

Data for a relaxed CsH3O crystal.

Symmetry: Pm-3m

Lattice parameters (Å, degrees): 3.805 3.805 3.805 90.00 90.00 90.00
Fractional coordinates of all 5 atoms:
Cs: 0.000 0.000 0.000
H: 0.000 0.500 0.500
H: 0.500 0.000 0.500
H: 0.500 0.500 0.000
O: 0.500 0.500 0.500

b) ## CsH3O (PBE-GGA)

Data for a relaxed CsH3O crystal.

Symmetry: R3m

Lattice parameters (Å, degrees): 3.714 3.714 15.453 90.00 90.00 120.00
Fractional coordinates of all 15 atoms:
Cs: 0.000 0.000 0.000
Cs: 0.333 0.667 0.667
Cs: 0.667 0.333 0.333
H: 0.103 0.207 0.834
H: 0.103 0.897 0.834
H: 0.127 0.563 0.501
H: 0.437 0.563 0.501
H: 0.437 0.873 0.501
H: 0.460 0.230 0.167
H: 0.770 0.230 0.167
H: 0.770 0.540 0.167
H: 0.793 0.897 0.834
O: 0.000 0.000 0.190
O: 0.333 0.667 0.857
O: 0.667 0.333 0.523

b) takes first place; second place is 0.843 eV/atom up.

a) ## CsHSO4 (PBE-GGA)

Data for a relaxed CsHSO4 crystal.

Symmetry: P2_1/c

Lattice parameters (Å, degrees): 8.391 5.970 11.302 90.00 120.06 90.00
Fractional coordinates of all 28 atoms:
Cs: 0.214 0.239 0.349
Cs: 0.214 0.261 0.849
Cs: 0.786 0.739 0.151
Cs: 0.786 0.761 0.651
H: 0.468 0.507 0.717
H: 0.468 0.993 0.217
H: 0.532 0.007 0.783
H: 0.532 0.493 0.283
S: 0.259 0.737 0.099
S: 0.259 0.763 0.599
S: 0.741 0.237 0.401
S: 0.741 0.263 0.901
O: 0.117 0.737 0.956
O: 0.117 0.763 0.456
O: 0.194 0.750 0.197
O: 0.194 0.750 0.697
O: 0.374 0.540 0.616
O: 0.374 0.960 0.116
O: 0.391 0.548 0.132
O: 0.391 0.952 0.632
O: 0.609 0.048 0.368
O: 0.609 0.452 0.868
O: 0.626 0.040 0.884
O: 0.626 0.460 0.384
O: 0.806 0.250 0.303
O: 0.806 0.250 0.803
O: 0.883 0.237 0.544
O: 0.883 0.263 0.044

b) ## CsHSO4 (PBE-GGA)

Data for a relaxed CsHSO4 crystal.

Symmetry: P2_1/m

Lattice parameters (Å, degrees): 5.632 5.965 7.312 90.00 100.51 90.00
Fractional coordinates of all 14 atoms:
Cs: 0.009 0.250 0.214
Cs: 0.991 0.750 0.786
H: 0.500 0.000 0.500
H: 0.500 0.500 0.500
S: 0.441 0.250 0.735
S: 0.559 0.750 0.265
O: 0.292 0.250 0.878
O: 0.297 0.750 0.199
O: 0.370 0.044 0.610
O: 0.370 0.456 0.610
O: 0.630 0.544 0.390
O: 0.630 0.956 0.390
O: 0.703 0.250 0.801
O: 0.708 0.750 0.122

a) takes first place; second place is 0.008 eV/atom up.

a) ## CsTeHO (PBE-GGA)

Data for a relaxed CsTeHO crystal.

Symmetry: P1

Lattice parameters (Å, degrees): 4.384 4.768 4.980 87.78 86.78 85.85
Fractional coordinates of all 4 atoms:
Cs: 0.000 0.000 0.000
Te: 0.502 0.502 0.528
H: 0.149 0.380 0.477
O: 0.483 0.476 0.920

b) ## CsTeHO (PBE-GGA)

Data for a relaxed CsTeHO crystal.

Symmetry: P1

Lattice parameters (Å, degrees): 4.526 5.215 5.988 89.68 69.21 64.59
Fractional coordinates of all 4 atoms:
Cs: 0.000 0.000 0.000
Te: 0.958 0.502 0.515
H: 0.584 0.244 0.561
O: 0.833 0.157 0.551

c) ## CsTeHO (PBE-GGA)

Data for a relaxed CsTeHO crystal.

Symmetry: Pm

Lattice parameters (Å, degrees): 4.542 5.432 5.099 90.00 115.75 90.00
Fractional coordinates of all 4 atoms:
Cs: 0.000 0.000 0.000
Te: 0.686 0.500 0.400
H: 0.301 0.500 0.686
O: 0.140 0.500 0.769

d) ## CsTeHO (PBE-GGA)

Data for a relaxed CsTeHO crystal.

Symmetry: Cm

Lattice parameters (Å, degrees): 17.173 3.574 3.490 90.00 90.61 90.00
Fractional coordinates of all 8 atoms:
Cs: 0.000 0.000 0.000
Cs: 0.500 0.500 0.000
Te: 0.291 0.000 0.485
Te: 0.791 0.500 0.485
H: 0.136 0.500 0.505
H: 0.636 0.000 0.505
O: 0.079 0.500 0.504
O: 0.579 0.000 0.504

c) takes first place; second place is 0.012 eV/atom up.